# 1
Compound: Li2Ti7O15
Source: the Alexandria database
Functional: GGA-PBEsol
Structure: optimized geometry

Formation energy (no corrections) (eV per atom): -2.90
Space group: C2/m
Total energy (eV per atom): -8.767
Spin magnetization (μB per formula unit): 0.0
Mass density (kg/m3): 3957

POSCAR file:
```
Li2Ti7O15
1.0
-0.6297 0.1472 -2.8845
-7.4169 -4.3671 2.9111
-3.0841 8.8392 1.1243
Li Ti O
2 7 15
direct
0.1601 0.3202 0.7269
0.8399 0.6798 0.2731
0.1884 0.3767 0.4014
0.3174 0.6348 0.9468
0.5039 0.0078 0.6606
0.4961 0.9922 0.3394
0.0000 0.0000 0.0000
0.6826 0.3652 0.0532
0.8116 0.6233 0.5986
0.0136 0.0271 0.2109
0.2006 0.4013 0.9258
0.1866 0.3733 0.1869
0.2317 0.4633 0.5985
0.3765 0.7530 0.6028
0.4266 0.8532 0.9924
0.4011 0.8022 0.2993
0.0000 0.0000 0.5000
0.5989 0.1978 0.7007
0.5734 0.1468 0.0076
0.6235 0.2470 0.3972
0.7683 0.5367 0.4015
0.8134 0.6267 0.8131
0.7994 0.5987 0.0742
0.9864 0.9729 0.7891
```

***

# 2
Compound: LiCdAg2
Source: the Alexandria database
Functional: GGA-PBEsol
Structure: optimized geometry

Space group: Pmmm
Total energy (eV per atom): -2.626
Formation enthalpy at 0 K (eV/atom): -0.1796
Spin magnetization (μB per formula unit): 0.0
Mass density (kg/m3): 8288

POSCAR file:
```
LiCdAg2
1.0
-3.8869 -0.0387 1.0024
1.0009 -0.8672 3.8479
0.1813 4.0153 0.8578
Cd Ag Li
1 2 1
direct
0.5000 0.5000 0.0000
0.0000 0.0000 0.0000
0.0000 0.5000 0.5000
0.5000 0.0000 0.5000
```

***

# 3
Compound: FeTc2W
Source: the Alexandria database
Functional: GGA-PBEsol
Structure: optimized geometry

Space group: P4/mmm
Total energy (eV per atom): -11.238
Formation enthalpy at 0 K (eV/atom): 0.0877
Spin magnetization (μB per formula unit): 2.8
Mass density (kg/m3): 13093

POSCAR file:
```
FeTc2W
1.0
-0.5952 -3.0342 -0.1101
0.5572 -0.2610 4.1810
-4.1095 0.7845 0.5966
Tc W Fe
2 1 1
direct
0.0000 0.0000 0.5000
0.0000 0.5000 0.0000
0.5000 0.5000 0.5000
0.5000 0.0000 0.0000
```

***

# 4
Compound: BaLi2Mg2
Source: the Alexandria database
Functional: GGA-PBEsol
Structure: optimized geometry

Energy above the most stable polymorph in this dataset (eV per atom): 0.000
Space group: P4/mbm
Total energy (eV per atom): -1.901
Formation enthalpy at 0 K (eV/atom): 0.0022
Spin magnetization (μB per formula unit): 0.0
Mass density (kg/m3): 2472

POSCAR file:
```
BaLi2Mg2
1.0
-1.3313 3.2174 -0.0768
-6.1814 -2.6920 -5.6245
-5.2552 -2.0136 6.7394
Mg Ba Li
4 2 4
direct
0.5000 0.1650 0.6650
0.5000 0.6650 0.8350
0.5000 0.8350 0.3350
0.5000 0.3350 0.1650
0.0000 0.0000 0.0000
0.0000 0.5000 0.5000
0.0000 0.3772 0.8772
0.0000 0.8772 0.6228
0.0000 0.6228 0.1228
0.0000 0.1228 0.3772
```

***

# 5
Compound: Re2SbSe
Source: the Alexandria database
Functional: GGA-PBEsol
Structure: optimized geometry

Formation energy (no corrections) (eV per atom): 0.32
Energy above the most stable polymorph in this dataset (eV per atom): 0.000
Space group: Pmm2
Total energy (eV per atom): -8.449
Spin magnetization (μB per formula unit): 0.0
Mass density (kg/m3): 14007

POSCAR file:
```
Re2SbSe
1.0
-2.8061 -1.0400 0.7548
0.6579 -3.6796 -2.6242
1.8831 -2.3484 3.7650
Re Sb Se
2 1 1
direct
0.5000 0.0000 0.9861
0.0000 0.5000 0.8060
0.0000 0.0000 0.5009
0.5000 0.5000 0.2071
```

***

# 6
Compound: CsLi2Sc2
Source: the Alexandria database
Functional: GGA-PBEsol
Structure: optimized geometry

Space group: I4/mmm
Total energy (eV per atom): -3.143
Formation enthalpy at 0 K (eV/atom): 0.4742
Spin magnetization (μB per formula unit): 0.5
Mass density (kg/m3): 2283

POSCAR file:
```
CsLi2Sc2
1.0
4.1451 0.0000 0.0000
0.0000 4.1451 0.0000
-2.0726 -2.0726 10.0184
Cs Sc Li
1 2 2
direct
0.0000 0.0000 0.0000
0.2500 0.7500 0.5000
0.7500 0.2500 0.5000
0.3664 0.3664 0.7327
0.6336 0.6336 0.2673
```

***

# 7
Compound: Sc2BeHg
Source: the Alexandria database
Functional: GGA-PBEsol
Structure: optimized geometry

Energy above the most stable polymorph in this dataset (eV per atom): 0.000
Space group: P4/mmm
Total energy (eV per atom): -4.740
Formation enthalpy at 0 K (eV/atom): -0.2956
Spin magnetization (μB per formula unit): 0.0
Mass density (kg/m3): 6886

POSCAR file:
```
Sc2BeHg
1.0
-0.9740 -3.1028 0.3716
1.2689 -0.0370 3.0171
-5.8815 2.1457 2.4998
Sc Be Hg
2 1 1
direct
0.0000 0.0000 0.7793
0.0000 0.0000 0.2207
0.5000 0.5000 0.0000
0.5000 0.5000 0.5000
```

***

# 8
Compound: Sr2AuSe
Source: the Alexandria database
Functional: GGA-PBEsol
Structure: optimized geometry

Formation energy (no corrections) (eV per atom): -0.53
Space group: F-43m
Total energy (eV per atom): -3.395
Spin magnetization (μB per formula unit): 0.0
Mass density (kg/m3): 7116

POSCAR file:
```
Sr2AuSe
1.0
-2.9679 3.4342 -2.7366
-3.8289 -1.7743 -3.2066
-5.0882 0.7243 1.2947
Au Se Sr
1 1 2
direct
0.5000 0.5000 0.5000
0.2500 0.2500 0.2500
0.0000 0.0000 0.0000
0.7500 0.7500 0.7500
```

***

# 9
Compound: LaScPt3
Source: the Alexandria database
Functional: GGA-PBEsol
Structure: optimized geometry

Space group: Pm-3m
Total energy (eV per atom): -6.946
Formation enthalpy at 0 K (eV/atom): -0.3781
Spin magnetization (μB per formula unit): 0.0
Mass density (kg/m3): 11336

POSCAR file:
```
LaScPt3
1.0
-3.3899 3.2904 -1.0043
-1.3319 0.0447 4.6422
3.1719 3.5352 0.8760
Sc Pt La
1 3 1
direct
0.0000 0.0000 0.0000
0.0000 0.5000 0.0000
0.0000 0.0000 0.5000
0.5000 0.0000 0.0000
0.5000 0.5000 0.5000
```

***

# 10
Compound: Fe4MoOs
Source: the Alexandria database
Functional: GGA-PBEsol
Structure: optimized geometry

Space group: F-43m
Total energy (eV per atom): -10.000
Formation enthalpy at 0 K (eV/atom): -0.0274
Spin magnetization (μB per formula unit): 5.0
Mass density (kg/m3): 12204

POSCAR file:
```
Fe4MoOs
1.0
4.6112 0.0000 0.0000
2.3056 3.9934 0.0000
2.3056 1.3311 3.7651
Fe Mo Os
4 1 1
direct
0.3747 0.3747 0.3747
0.3747 0.3747 0.8760
0.8760 0.3747 0.3747
0.3747 0.8760 0.3747
0.7500 0.7500 0.7500
0.0000 0.0000 0.0000
```

***

# 11
Compound: Sb2O5
Source: the Alexandria database
Functional: GGA-PBEsol
Structure: optimized geometry

Formation energy (no corrections) (eV per atom): -1.19
Energy above the most stable polymorph in this dataset (eV per atom): 0.101
Space group: Cmmm
Total energy (eV per atom): -6.245
Spin magnetization (μB per formula unit): 0.0
Mass density (kg/m3): 5561

POSCAR file:
```
Sb2O5
1.0
3.8158 0.0000 0.0000
0.0000 3.9344 0.0000
0.0000 0.0000 12.8703
Sb O
4 10
direct
0.4996 0.5000 0.8518
0.5004 0.0000 0.6482
0.5004 0.0000 0.3518
0.4996 0.5000 0.1482
0.4999 0.0000 0.8119
0.5001 0.5000 0.6881
0.5001 0.5000 0.3119
0.4999 0.0000 0.1881
0.9996 0.5000 0.1533
0.0004 0.0000 0.3467
0.0004 0.0000 0.6533
0.5004 0.0000 0.5000
0.4996 0.5000 0.0000
0.9996 0.5000 0.8467
```

***

# 12
Compound: Cr3Mo5
Source: the Alexandria database
Functional: GGA-PBEsol
Structure: optimized geometry

Energy above the most stable polymorph in this dataset (eV per atom): 0.000
Space group: Cmmm
Total energy (eV per atom): -11.123
Formation enthalpy at 0 K (eV/atom): 0.0726
Spin magnetization (μB per formula unit): 0.0
Mass density (kg/m3): 9561

POSCAR file:
```
Cr3Mo5
1.0
-2.1021 -3.2943 -1.7149
4.5120 -2.6132 -0.5108
-2.1258 -1.0729 4.6667
Cr Mo
3 5
direct
0.0000 0.5000 0.5000
0.5000 0.7476 0.2524
0.5000 0.2524 0.7476
0.0000 0.0000 0.0000
0.0000 0.5000 0.0000
0.0000 0.0000 0.5000
0.5000 0.7443 0.7443
0.5000 0.2557 0.2557
```

***

# 13
Compound: CuPd3Cl
Source: the Alexandria database
Functional: GGA-PBEsol
Structure: optimized geometry

Formation energy (no corrections) (eV per atom): 0.90
Space group: Pm-3m
Total energy (eV per atom): -3.945
Spin magnetization (μB per formula unit): 0.0
Mass density (kg/m3): 7363

POSCAR file:
```
CuPd3Cl
1.0
-0.0924 -2.1747 3.9981
-1.0097 -3.8894 -2.1389
4.4378 -0.9302 -0.4034
Cu Pd Cl
1 3 1
direct
0.0000 0.0000 0.0000
0.0000 0.5000 0.0000
0.0000 0.0000 0.5000
0.5000 0.0000 0.0000
0.5000 0.5000 0.5000
```

***

# 14
Compound: Be2TlCoBr
Source: the Alexandria database
Functional: GGA-PBEsol
Structure: optimized geometry

Formation energy (no corrections) (eV per atom): 1.21
Space group: P4/mmm
Total energy (eV per atom): -2.838
Spin magnetization (μB per formula unit): 0.0
Mass density (kg/m3): 7044

POSCAR file:
```
Be2TlCoBr
1.0
-0.8683 -1.4053 -4.0794
3.8511 -2.1238 -0.0881
-1.9404 -3.5869 1.6487
Be Tl Co Br
2 1 1 1
direct
0.0000 0.0000 0.5000
0.0000 0.5000 0.0000
0.5000 0.5000 0.5000
0.5000 0.0000 0.0000
0.0000 0.0000 0.0000
```

***

# 15
Compound: TeCl3
Source: the Alexandria database
Functional: GGA-PBEsol
Structure: optimized geometry

Formation energy (no corrections) (eV per atom): 0.10
Energy above the most stable polymorph in this dataset (eV per atom): 0.317
Space group: I4/mmm
Total energy (eV per atom): -2.286
Spin magnetization (μB per formula unit): 0.0
Mass density (kg/m3): 4840

POSCAR file:
```
TeCl3
1.0
4.4290 0.0000 0.0000
0.0000 4.4290 0.0000
-2.2145 -2.2145 4.0922
Te Cl
1 3
direct
0.0000 0.0000 0.0000
0.7500 0.2500 0.5000
0.5000 0.5000 0.0000
0.2500 0.7500 0.5000
```

***

# 16
Compound: AlSeSCl2
Source: the Alexandria database
Functional: GGA-PBEsol
Structure: optimized geometry

Formation energy (no corrections) (eV per atom): -0.28
Energy above the most stable polymorph in this dataset (eV per atom): 0.000
Space group: P4/mmm
Total energy (eV per atom): -3.551
Spin magnetization (μB per formula unit): 0.6
Mass density (kg/m3): 3515

POSCAR file:
```
AlSeSCl2
1.0
-3.4301 -0.1365 -2.8142
2.7383 -1.2052 -3.2792
-0.7484 -4.8184 1.1459
S Al Se Cl
1 1 1 2
direct
0.0000 0.0000 0.5000
0.0000 0.0000 0.0000
0.5000 0.5000 0.5000
0.0000 0.5000 0.0000
0.5000 0.0000 0.0000
```

***

# 17
Compound: K2GaOsI
Source: the Alexandria database
Functional: GGA-PBEsol
Structure: optimized geometry

Formation energy (no corrections) (eV per atom): 0.51
Space group: P4/mmm
Total energy (eV per atom): -3.409
Spin magnetization (μB per formula unit): 1.6
Mass density (kg/m3): 4189

POSCAR file:
```
K2GaOsI
1.0
4.6412 0.0000 0.0000
0.0000 6.3020 0.0000
0.0000 0.0000 6.3020
I K Os Ga
1 2 1 1
direct
0.5000 0.5000 0.5000
0.0000 0.0000 0.5000
0.0000 0.5000 0.0000
0.5000 0.0000 0.0000
0.0000 0.0000 0.0000
```

***

# 18
Compound: TaZn2Si
Source: the Alexandria database
Functional: GGA-PBEsol
Structure: optimized geometry

Formation energy (no corrections) (eV per atom): -0.05
Space group: Pmm2
Total energy (eV per atom): -5.415
Spin magnetization (μB per formula unit): 0.0
Mass density (kg/m3): 9540

POSCAR file:
```
TaZn2Si
1.0
-0.1140 -2.4486 -1.6099
2.5175 1.3622 -2.2501
3.9967 -2.2359 3.1179
Si Ta Zn
1 1 2
direct
0.0000 0.0000 0.5071
0.5000 0.5000 0.7348
0.0000 0.0000 0.0204
0.5000 0.5000 0.2377
```

***

# 19
Compound: ZnSnSO2
Source: the Alexandria database
Functional: GGA-PBEsol
Structure: optimized geometry

Formation energy (no corrections) (eV per atom): -0.30
Space group: P4/mmm
Total energy (eV per atom): -4.443
Spin magnetization (μB per formula unit): 0.6
Mass density (kg/m3): 5810

POSCAR file:
```
ZnSnSO2
1.0
3.8726 0.0000 0.0000
0.0000 3.8726 0.0000
0.0000 0.0000 4.7295
S Zn Sn O
1 1 1 2
direct
0.0000 0.0000 0.5000
0.0000 0.0000 0.0000
0.5000 0.5000 0.5000
0.0000 0.5000 0.0000
0.5000 0.0000 0.0000
```

***

# 20
Compound: RbNaZrMo2
Source: the Alexandria database
Functional: GGA-PBEsol
Structure: optimized geometry

Space group: P4/mmm
Total energy (eV per atom): -4.513
Formation enthalpy at 0 K (eV/atom): 2.4975
Spin magnetization (μB per formula unit): 1.1
Mass density (kg/m3): 6025

POSCAR file:
```
RbNaZrMo2
1.0
-3.2385 3.1301 0.8785
-2.0457 -3.0147 3.2003
2.7601 1.8670 3.5230
Na Mo Rb Zr
1 2 1 1
direct
0.5000 0.0000 0.0000
0.0000 0.0000 0.5000
0.0000 0.5000 0.0000
0.0000 0.0000 0.0000
0.5000 0.5000 0.5000
```